KIn2Ni (GGA-PBE, relaxed); energy of formation from the pure elements = 0.01 eV/atom; total magnetization = 0.00 μB per formula unit; uncorrected energy = -3.075 eV/atom
1.0
8.494 0.151 -0.024
6.775 5.126 0.024
-7.381 -3.372 2.516
In K Ni
2 1 1
Direct
0.094 0.094 0.000
0.745 0.245 0.500
0.430 0.430 0.000
0.231 0.731 0.500